CeUAl4: relaxed, PBE-GGA.

- ΔE_f: -1.668 eV/f.u.

a = 7.8330 Å, b = 7.8330 Å, c = 7.8330 Å
α = 90.00°, β = 90.00°, γ = 90.00°
Last column: nearest neighbours and their distance in Å.
Space group F-43m (No. 216)
Inequivalent atoms, fractional coordinates:
Ce 0.0000 0.0000 0.0000 x4  12 Al 3.25, 4 U 3.39
U 0.2500 0.2500 0.7500 x4  12 Al 3.25, 4 Ce 3.39
Al 0.1246 0.1246 0.3754 x16  6 Al 2.76-2.78

***

PmIn3Au3: relaxed, PBE-GGA.

- ΔE_f: -2.858 eV/f.u.
- E above lowest polymorph: 0.000 eV/f.u.

a = 7.9916 Å, b = 4.8658 Å, c = 8.8406 Å
α = 90.00°, β = 108.30°, γ = 90.00°
Last column: nearest neighbours and their distance in Å.
Space group P2_1/m (No. 11)
Inequivalent atoms, fractional coordinates:
Pm 0.1287 0.2500 0.2899 x2  8 Au 3.06-3.33, 1 In 3.34
In 0.2194 0.2500 0.6989 x2  4 Au 2.75-2.92
In 0.2923 0.7500 0.0230 x2  4 Au 2.92-3.05, 1 In 3.09
In 0.4758 0.7500 0.7631 x2  3 Au 2.93-2.94, 5 In 3.09-3.28
Au 0.0529 0.2500 0.9285 x2  4 In 2.75-3.05, 2 Au 2.98, 1 Pm 3.06
Au 0.1380 0.7500 0.5065 x2  4 In 2.86-2.93, 1 Au 2.89, 3 Pm 3.08-3.19
Au 0.4282 0.7500 0.3778 x2  3 Au 2.89-3.22, 4 In 2.94-3.10

***

TaSiGeRu2: relaxed, PBE-GGA.

- Energy relative to the elements, uncorrected: 1.48 eV/atom

a = 4.7369 Å, b = 4.7369 Å, c = 4.9524 Å
α = 90.00°, β = 90.00°, γ = 90.00°
Last column: nearest neighbours and their distance in Å.
Space group P4/mmm (No. 123)
Inequivalent atoms, fractional coordinates:
Ta 0.0000 0.0000 0.0000 x1  4 Ru 2.37, 2 Ge 2.48
Si 0.5000 0.5000 0.5000 x1  4 Ge 3.35, 8 Ru 3.43
Ge 0.0000 0.0000 0.5000 x1  2 Ta 2.48
Ru 0.0000 0.5000 0.0000 x2  2 Ta 2.37

***

D(E_F) values (in states/eV per cell) by entry order: 41.9; 5.0; 5.0.
Raw total energy values (in eV per atom) by entry order: -5.64; -3.67; -6.61.